(1)
# AsAuBr (PBE, optimized geometry)
# total moment: 0.00 μB per formula unit
# excess energy over the best structure of this formula in the dataset: 388.7 meV/atom
# E_form (uncorrected): 0.261 eV per atom
# N(E_F): 0.370 states/eV/atom
data_AsAuBr
_chemical_formula_sum 'As2 Au2 Br2'
_cell_length_a 3.4051
_cell_length_b 3.4051
_cell_length_c 11.6859
_cell_angle_alpha 90.00
_cell_angle_beta 90.00
_cell_angle_gamma 90.00
_symmetry_space_group_name_H-M 'I 4 m m'
_symmetry_Int_Tables_number 107
_symmetry_space_group_name_Hall 'I 4 -2'
loop_
_atom_site_label
_atom_site_fract_x
_atom_site_fract_y
_atom_site_fract_z
_atom_site_occupancy
As1 0.0000 0.0000 0.0000 1
Au1 0.0000 0.0000 0.6072 1
Br1 0.0000 0.0000 0.3229 1

***

(2)
# As2AuBr8 (PBE, optimized geometry)
# total moment: 0.64 μB per formula unit
# E_form (uncorrected): -0.251 eV per atom
# N(E_F): 0.556 states/eV/atom
data_As2AuBr8
_chemical_formula_sum 'As4 Au2 Br16'
_cell_length_a 12.8572
_cell_length_b 9.8371
_cell_length_c 7.8753
_cell_angle_alpha 90.00
_cell_angle_beta 112.45
_cell_angle_gamma 90.00
_symmetry_space_group_name_H-M 'C 1 2/m 1'
_symmetry_Int_Tables_number 12
loop_
_symmetry_equiv_pos_as_xyz
'x,y,z'
'-x,-y,-z'
'-x,y,-z'
'x,-y,z'
'x+1/2,y+1/2,z'
'-x+1/2,-y+1/2,-z'
'-x+1/2,y+1/2,-z'
'x+1/2,-y+1/2,z'
loop_
_atom_site_label
_atom_site_fract_x
_atom_site_fract_y
_atom_site_fract_z
_atom_site_occupancy
As1 0.1550 0.0000 0.1282 1
Au1 0.0000 0.0000 0.5000 1
Br1 0.0996 0.1853 0.2821 1
Br2 0.1478 0.5000 0.7130 1
Br3 0.1875 0.0000 0.7548 1